Record 1
Density functional theory data (PBE+U) for crystalline MnSnPO2 at its relaxed geometry.

Relative energy among the computed polymorphs ... 0.63 eV per formula unit
Calculated total energy ... -5.75 eV per atom
N(E_F) ... 0.66 states/eV per atom

abc: 3.9534 3.9534 5.4953
angles: 90.00 90.00 90.00
Closest atoms and distances in Å follow each position.
Sites, in units of the cell vectors:
P: 0.0000 0.0000 0.5000  2 Sn 2.75, 4 Mn 2.80
O: 0.0000 0.5000 0.0000  2 Sn 1.98
O: 0.5000 0.0000 0.0000  2 Sn 1.98
Sn: 0.0000 0.0000 0.0000  4 O 1.98
Mn: 0.5000 0.5000 0.5000  4 P 2.80



Record 2
Density functional theory data (PBE+U) for crystalline K2SrFeF6 at its relaxed geometry.

Calculated total energy ... -5.10 eV per atom
N(E_F) ... 0.00 states/eV per atom

abc: 6.2026 6.3209 8.7045
angles: 90.00 90.80 90.00
Closest atoms and distances in Å follow each position.
Sites, in units of the cell vectors:
F: 0.2238 0.1946 0.4608  1 Fe 2.13
F: 0.0838 0.4749 0.7715  1 Fe 2.07
F: 0.4162 0.9749 0.7285  1 Fe 2.07
F: 0.6928 0.2768 0.5471  1 Fe 2.16, 1 Sr 2.41
F: 0.2762 0.6946 0.0392  1 Fe 2.13
F: 0.5838 0.0251 0.2715  1 Fe 2.07
F: 0.1928 0.2232 0.0471  1 Fe 2.16, 1 Sr 2.41
F: 0.7762 0.8054 0.5392  1 Fe 2.13
F: 0.9162 0.5251 0.2285  1 Fe 2.07
F: 0.7238 0.3054 0.9608  1 Fe 2.13
F: 0.8072 0.7768 0.9529  1 Fe 2.16, 1 Sr 2.41
F: 0.3072 0.7232 0.4529  1 Fe 2.16, 1 Sr 2.41
K: 0.0131 0.9577 0.2496  6 F 2.69-2.98
K: 0.4869 0.4577 0.2504  6 F 2.69-2.98
K: 0.9869 0.0423 0.7504  6 F 2.69-2.98
K: 0.5131 0.5423 0.7496  6 F 2.69-2.98
Fe: 0.5000 0.0000 0.5000  6 F 2.07-2.16
Fe: 0.0000 0.5000 0.0000  6 F 2.07-2.16
Sr: 0.5000 0.0000 0.0000  6 F 2.40-2.42
Sr: 0.0000 0.5000 0.5000  6 F 2.40-2.42